(1)
This record from the Alexandria database describes a geometry-optimized Nd8Ni3CI4 structure. The functional is PBE-GGA.

a = 8.181 Å, b = 9.271 Å, c = 8.192 Å
α = 116.26°, β = 119.96°, γ = 90.00°
Element x y z (fractional)
Nd (0.218, 0.678, 0.961)
Nd (0.728, 0.683, 0.456)
Nd (0.743, 0.678, 0.961)
Nd (0.218, 0.678, 0.436)
Nd (0.782, 0.322, 0.564)
Nd (0.272, 0.317, 0.544)
Nd (0.782, 0.322, 0.039)
Nd (0.257, 0.322, 0.039)
I (0.000, 0.000, 0.000)
I (0.000, 0.000, 0.500)
I (0.500, 0.000, 0.500)
I (0.500, 0.000, 0.000)
Ni (0.500, 0.500, 0.500)
Ni (0.500, 0.500, 0.000)
Ni (0.000, 0.500, 0.500)
C (0.000, 0.500, 0.000)

Properties
Crystal system = monoclinic
SG = C2/m
Energy = -5.0576 eV/atom
Raw formation energy = -60.4 kJ/mol of atoms
Total magnetization = 0.00 μB per atom

---

(2)
This record from the Alexandria database describes a geometry-optimized Ti2CdH structure. The functional is PBE-GGA.

a = 4.463 Å, b = 4.463 Å, c = 4.463 Å
α = 60.00°, β = 60.00°, γ = 60.00°
Element x y z (fractional)
Cd (0.500, 0.500, 0.500)
Ti (0.750, 0.750, 0.750)
Ti (0.250, 0.250, 0.250)
H (0.000, 0.000, 0.000)

Properties
Crystal system = cubic
SG = Fm-3m
Distance to the lowest polymorph of the same formula = 2.704 eV per formula unit
Energy = -4.4528 eV/atom
Total magnetization = 0.00 μB per atom